(1)
# TlPW, relaxed, DFT PBE
data_TlPW
_cell_length_a 3.2313
_cell_length_b 3.2313
_cell_length_c 10.6044
_cell_angle_alpha 90.00
_cell_angle_beta 90.00
_cell_angle_gamma 90.00
_space_group_name_H-M_alt 'I 4 m m'
_space_group_IT_number 107
_space_group_name_Hall 'I 4 -2'
loop_
_atom_site_label
_atom_site_type_symbol
_atom_site_fract_x
_atom_site_fract_y
_atom_site_fract_z
_atom_site_occupancy
Tl1 Tl 0.0000 0.0000 0.0000 1
P1 P 0.0000 0.0000 0.7046 1
W1 W 0.0000 0.0000 0.2936 1
# Energy relative to the elements = 319 meV per atom
# Calculated volume = 18.454 Å³/atom
# DFT total energy = -0.484 Ry/atom
# Magnetization = 0.000 μB per atom
# Energy above the lowest structure with this stoichiometry = 0.052 eV/atom

---

(2)
# YTl2P2, relaxed, DFT PBE
data_YTl2P2
_cell_length_a 7.0206
_cell_length_b 7.0206
_cell_length_c 5.0980
_cell_angle_alpha 90.00
_cell_angle_beta 90.00
_cell_angle_gamma 90.00
_space_group_name_H-M_alt 'P 4/m b m'
_space_group_IT_number 127
_space_group_name_Hall '-P 4 2ab'
loop_
_atom_site_label
_atom_site_type_symbol
_atom_site_fract_x
_atom_site_fract_y
_atom_site_fract_z
_atom_site_occupancy
Y1 Y 0.0000 0.0000 0.0000 1
Tl1 Tl 0.1960 0.3040 0.5000 1
P1 P 0.1103 0.6103 0.0000 1
# Energy relative to the elements = -316 meV per atom
# Calculated volume = 25.128 Å³/atom
# DFT total energy = -0.347 Ry/atom
# Magnetization = 0.000 μB per atom

---

(3)
# Y2Tl2P, relaxed, DFT PBE
data_Y2Tl2P
_cell_length_a 7.3828
_cell_length_b 7.3828
_cell_length_c 5.0942
_cell_angle_alpha 90.00
_cell_angle_beta 90.00
_cell_angle_gamma 90.00
_space_group_name_H-M_alt 'P 4/m b m'
_space_group_IT_number 127
_space_group_name_Hall '-P 4 2ab'
loop_
_atom_site_label
_atom_site_type_symbol
_atom_site_fract_x
_atom_site_fract_y
_atom_site_fract_z
_atom_site_occupancy
Y1 Y 0.1710 0.3290 0.0000 1
Tl1 Tl 0.1474 0.6474 0.5000 1
P1 P 0.0000 0.0000 0.0000 1
# Energy relative to the elements = -537 meV per atom
# Calculated volume = 27.766 Å³/atom
# DFT total energy = -0.379 Ry/atom
# Magnetization = 0.000 μB per atom

---

(4)
# YTl4P, relaxed, DFT PBE
data_YTl4P
_cell_length_a 8.7604
_cell_length_b 8.7604
_cell_length_c 8.7604
_cell_angle_alpha 90.00
_cell_angle_beta 90.00
_cell_angle_gamma 90.00
_space_group_name_H-M_alt 'F -4 3 m'
_space_group_IT_number 216
_space_group_name_Hall 'F -4 2 3'
loop_
_atom_site_label
_atom_site_type_symbol
_atom_site_fract_x
_atom_site_fract_y
_atom_site_fract_z
_atom_site_occupancy
Y1 Y 0.0000 0.0000 0.0000 1
Tl1 Tl 0.1247 0.1247 0.3753 1
P1 P 0.2500 0.2500 0.7500 1
# Energy relative to the elements = 316 meV per atom
# Calculated volume = 28.013 Å³/atom
# DFT total energy = -0.238 Ry/atom
# Magnetization = 0.000 μB per atom

---

(5)
# Y2TlP2, relaxed, DFT PBE
data_Y2TlP2
_cell_length_a 7.8124
_cell_length_b 7.8124
_cell_length_c 3.7040
_cell_angle_alpha 90.00
_cell_angle_beta 90.00
_cell_angle_gamma 90.00
_space_group_name_H-M_alt 'P 4/m b m'
_space_group_IT_number 127
_space_group_name_Hall '-P 4 2ab'
loop_
_atom_site_label
_atom_site_type_symbol
_atom_site_fract_x
_atom_site_fract_y
_atom_site_fract_z
_atom_site_occupancy
Y1 Y 0.1558 0.3442 0.0000 1
Tl1 Tl 0.0000 0.0000 0.5000 1
P1 P 0.1451 0.6451 0.5000 1
# Energy relative to the elements = -961 meV per atom
# Calculated volume = 22.607 Å³/atom
# DFT total energy = -0.455 Ry/atom
# Magnetization = 0.000 μB per atom
# Energy above the lowest structure with this stoichiometry = 0.000 eV/atom

---

(6)
# YTl3P, relaxed, DFT PBE
data_YTl3P
_cell_length_a 5.2973
_cell_length_b 5.2973
_cell_length_c 5.2973
_cell_angle_alpha 90.00
_cell_angle_beta 90.00
_cell_angle_gamma 90.00
_space_group_name_H-M_alt 'P m -3 m'
_space_group_IT_number 221
_space_group_name_Hall '-P 4 2 3'
loop_
_atom_site_label
_atom_site_type_symbol
_atom_site_fract_x
_atom_site_fract_y
_atom_site_fract_z
_atom_site_occupancy
Y1 Y 0.0000 0.0000 0.0000 1
Tl1 Tl 0.0000 0.5000 0.5000 1
P1 P 0.5000 0.5000 0.5000 1
# Energy relative to the elements = 387 meV per atom
# Calculated volume = 29.730 Å³/atom
# DFT total energy = -0.250 Ry/atom
# Magnetization = 0.000 μB per atom
# Energy above the lowest structure with this stoichiometry = 0.000 eV/atom

---

(7)
# Y4TlP, relaxed, DFT PBE
data_Y4TlP
_cell_length_a 8.8080
_cell_length_b 8.8080
_cell_length_c 8.8080
_cell_angle_alpha 90.00
_cell_angle_beta 90.00
_cell_angle_gamma 90.00
_space_group_name_H-M_alt 'F -4 3 m'
_space_group_IT_number 216
_space_group_name_Hall 'F -4 2 3'
loop_
_atom_site_label
_atom_site_type_symbol
_atom_site_fract_x
_atom_site_fract_y
_atom_site_fract_z
_atom_site_occupancy
Y1 Y 0.1252 0.1252 0.1252 1
Tl1 Tl 0.0000 0.0000 0.5000 1
P1 P 0.2500 0.2500 0.7500 1
# Energy relative to the elements = 362 meV per atom
# Calculated volume = 28.472 Å³/atom
# DFT total energy = -0.385 Ry/atom
# Magnetization = 0.000 μB per atom

---

(8)
# YTl3P, relaxed, DFT PBE
data_YTl3P
_cell_length_a 5.8430
_cell_length_b 5.8430
_cell_length_c 5.8430
_cell_angle_alpha 90.00
_cell_angle_beta 90.00
_cell_angle_gamma 90.00
_space_group_name_H-M_alt 'P m -3 m'
_space_group_IT_number 221
_space_group_name_Hall '-P 4 2 3'
loop_
_atom_site_label
_atom_site_type_symbol
_atom_site_fract_x
_atom_site_fract_y
_atom_site_fract_z
_atom_site_occupancy
Y1 Y 0.0000 0.0000 0.0000 1
Tl1 Tl 0.0000 0.0000 0.5000 1
P1 P 0.5000 0.5000 0.5000 1
# Energy relative to the elements = 922 meV per atom
# Calculated volume = 39.897 Å³/atom
# DFT total energy = -0.211 Ry/atom
# Magnetization = 0.000 μB per atom
# Energy above the lowest structure with this stoichiometry = 0.535 eV/atom

---

(9)
# Y2TlP2, relaxed, DFT PBE
data_Y2TlP2
_cell_length_a 5.0569
_cell_length_b 5.0569
_cell_length_c 9.5959
_cell_angle_alpha 90.00
_cell_angle_beta 90.00
_cell_angle_gamma 90.00
_space_group_name_H-M_alt 'I 4/m m m'
_space_group_IT_number 139
_space_group_name_Hall '-I 4 2'
loop_
_atom_site_label
_atom_site_type_symbol
_atom_site_fract_x
_atom_site_fract_y
_atom_site_fract_z
_atom_site_occupancy
Y1 Y 0.0000 0.5000 0.2500 1
Tl1 Tl 0.0000 0.0000 0.0000 1
P1 P 0.0000 0.0000 0.3827 1
# Energy relative to the elements = -712 meV per atom
# Calculated volume = 24.539 Å³/atom
# DFT total energy = -0.436 Ry/atom
# Magnetization = 0.000 μB per atom
# Energy above the lowest structure with this stoichiometry = 0.249 eV/atom

---

(10)
# YTlP4, relaxed, DFT PBE
data_YTlP4
_cell_length_a 7.7174
_cell_length_b 7.7174
_cell_length_c 7.7174
_cell_angle_alpha 90.00
_cell_angle_beta 90.00
_cell_angle_gamma 90.00
_space_group_name_H-M_alt 'F -4 3 m'
_space_group_IT_number 216
_space_group_name_Hall 'F -4 2 3'
loop_
_atom_site_label
_atom_site_type_symbol
_atom_site_fract_x
_atom_site_fract_y
_atom_site_fract_z
_atom_site_occupancy
Y1 Y 0.0000 0.0000 0.0000 1
Tl1 Tl 0.2500 0.2500 0.2500 1
P1 P 0.1159 0.1159 0.6159 1
# Energy relative to the elements = 44 meV per atom
# Calculated volume = 19.151 Å³/atom
# DFT total energy = -0.370 Ry/atom
# Magnetization = 0.000 μB per atom

---

(11)
# TlZn2P, relaxed, DFT PBE
data_TlZn2P
_cell_length_a 5.6267
_cell_length_b 7.1999
_cell_length_c 3.8604
_cell_angle_alpha 90.00
_cell_angle_beta 90.00
_cell_angle_gamma 90.00
_space_group_name_H-M_alt 'C m m m'
_space_group_IT_number 65
_space_group_name_Hall '-C 2 2'
loop_
_atom_site_label
_atom_site_type_symbol
_atom_site_fract_x
_atom_site_fract_y
_atom_site_fract_z
_atom_site_occupancy
Tl1 Tl 0.0000 0.0000 0.0000 1
Zn1 Zn 0.2500 0.2500 0.5000 1
P1 P 0.0000 0.5000 0.0000 1
# Energy relative to the elements = 380 meV per atom
# Calculated volume = 19.549 Å³/atom
# DFT total energy = -0.162 Ry/atom
# Magnetization = 0.000 μB per atom

---

(12)
# TlZn2P, relaxed, DFT PBE
data_TlZn2P
_cell_length_a 3.9043
_cell_length_b 5.4592
_cell_length_c 7.7352
_cell_angle_alpha 90.00
_cell_angle_beta 90.00
_cell_angle_gamma 90.00
_space_group_name_H-M_alt 'C m m m'
_space_group_IT_number 65
_space_group_name_Hall '-C 2 2'
loop_
_atom_site_label
_atom_site_type_symbol
_atom_site_fract_x
_atom_site_fract_y
_atom_site_fract_z
_atom_site_occupancy
Tl1 Tl 0.0000 0.0000 0.0000 1
Zn1 Zn 0.0000 0.5000 0.3068 1
P1 P 0.0000 0.0000 0.5000 1
# Energy relative to the elements = 262 meV per atom
# Calculated volume = 20.609 Å³/atom
# DFT total energy = -0.170 Ry/atom
# Magnetization = 0.000 μB per atom

---

Look up the magnetization of the twelfth one. 0.000 μB per atom

---

What is the magnetization in the ninth record? 0.000 μB per atom